Record 1
Compound: ZnIn2Ge
Source: the Alexandria database
Functional: PBE
Structure: optimized geometry

a b c (Å): 7.935 7.935 5.933
angles (deg): 90.00 90.00 90.00
Space group I-42d (No. 122)
One atom of each set of equivalent atoms:
Zn 0.000 0.000 0.000 x4
In 0.241 0.250 0.625 x8
Ge 0.000 0.000 0.500 x4

## Properties
* volume: 93 Å³/f.u.
* calculated density: 6.538 g cm⁻³
* calculated total energy: -42.2 eV/cell
* M_tot: 0.00 μB per formula unit
* DOS(E_F): 1.983 states/eV/f.u.
* E_form: 0.8 eV per formula unit



Record 2
Compound: Zn2In2Ge
Source: the Alexandria database
Functional: PBE
Structure: optimized geometry

a b c (Å): 3.655 3.655 16.472
angles (deg): 90.00 90.00 90.00
Space group I4/mmm (No. 139)
One atom of each set of equivalent atoms:
Zn 0.000 0.500 0.250 x4
In 0.000 0.000 0.103 x4
Ge 0.000 0.000 0.500 x2

## Properties
* volume: 110 Å³/f.u.
* calculated density: 6.536 g cm⁻³
* calculated total energy: -23.4 eV/cell
* M_tot: 0.00 μB per formula unit
* DOS(E_F): 2.165 states/eV/f.u.
* E_form: 0.9 eV per formula unit



Record 3
Compound: Zn2InGe2
Source: the Alexandria database
Functional: PBE
Structure: optimized geometry

a b c (Å): 8.130 8.130 2.955
angles (deg): 90.00 90.00 90.00
Space group P4/mbm (No. 127)
One atom of each set of equivalent atoms:
Zn 0.138 0.362 0.000 x4
In 0.000 0.000 0.500 x2
Ge 0.157 0.657 0.500 x4

## Properties
* volume: 98 Å³/f.u.
* calculated density: 6.646 g cm⁻³
* calculated total energy: -27.3 eV/cell
* M_tot: 0.00 μB per formula unit
* DOS(E_F): 1.648 states/eV/f.u.
* E_form: 0.9 eV per formula unit



Record 4
Compound: Zn2InGe
Source: the Alexandria database
Functional: PBE
Structure: optimized geometry

a b c (Å): 6.801 6.801 6.801
angles (deg): 90.00 90.00 90.00
Space group Fm-3m (No. 225)
One atom of each set of equivalent atoms:
Zn 0.250 0.250 0.250 x8
In 0.000 0.000 0.000 x4
Ge 0.000 0.000 0.500 x4

## Properties
* volume: 79 Å³/f.u.
* calculated density: 6.721 g cm⁻³
* calculated total energy: -36.3 eV/cell
* M_tot: 0.00 μB per formula unit
* DOS(E_F): 2.354 states/eV/f.u.
* E_form: 0.8 eV per formula unit



Record 5
Compound: Zn2InGe
Source: the Alexandria database
Functional: PBE
Structure: optimized geometry

a b c (Å): 4.423 4.423 17.115
angles (deg): 90.00 90.00 90.00
Space group I-42d (No. 122)
One atom of each set of equivalent atoms:
Zn 0.222 0.250 0.125 x8
In 0.000 0.000 0.500 x4
Ge 0.000 0.000 0.000 x4

## Properties
* volume: 84 Å³/f.u.
* calculated density: 6.314 g cm⁻³
* calculated total energy: -36.7 eV/cell
* M_tot: 0.00 μB per formula unit
* DOS(E_F): 1.517 states/eV/f.u.
* E_form: 0.7 eV per formula unit



Record 6
Compound: Zn2In2Ge
Source: the Alexandria database
Functional: PBE
Structure: optimized geometry

a b c (Å): 8.404 8.404 3.049
angles (deg): 90.00 90.00 90.00
Space group P4/mbm (No. 127)
One atom of each set of equivalent atoms:
Zn 0.107 0.393 0.000 x4
In 0.194 0.694 0.500 x4
Ge 0.000 0.000 0.500 x2

## Properties
* volume: 108 Å³/f.u.
* calculated density: 6.679 g cm⁻³
* calculated total energy: -23.1 eV/cell
* M_tot: 0.00 μB per formula unit
* DOS(E_F): 2.210 states/eV/f.u.
* E_form: 1.1 eV per formula unit



Q: DOS(E_F) of number 5 (Zn2InGe)?
A: 1.517 states/eV/f.u.



Q: Among the records above, which one has the highest volume?
A: number 2